The following is a PBE calculation of an optimized crystal structure of CaAc2Sm, from the Alexandria database. Values from VASP.

Calculated values
* DFT total energy: -3.6615 eV/atom
* space-group type: No. 225
* energy of formation: 0.07 eV per atom

Cell and atoms, written as Quantum ESPRESSO input:
```
&SYSTEM
  ibrav = 0, nat = 4, ntyp = 3
/
ATOMIC_SPECIES
Sm 150.36 Sm.upf
Ca 40.08 Ca.upf
Ac 227.00 Ac.upf
ATOMIC_POSITIONS crystal
Sm 0.000 0.000 0.000
Ca 0.500 0.500 0.500
Ac 0.250 0.250 0.250
Ac 0.750 0.750 0.750
CELL_PARAMETERS angstrom
-1.459 5.968 0.107
-4.243 2.195 -3.864
-5.475 1.787 2.142
```



The following is a PBE calculation of an optimized crystal structure of BaScTl2B, from the Alexandria database. Values from VASP.

Calculated values
* DFT total energy: -3.5548 eV/atom
* space-group type: No. 123
* energy of formation: 0.38 eV per atom

Cell and atoms, written as Quantum ESPRESSO input:
```
&SYSTEM
  ibrav = 0, nat = 5, ntyp = 4
/
ATOMIC_SPECIES
B 10.81 B.upf
Ba 137.33 Ba.upf
Sc 44.96 Sc.upf
Tl 204.38 Tl.upf
ATOMIC_POSITIONS crystal
B 0.000 0.500 0.000
Ba 0.500 0.500 0.500
Sc 0.000 0.000 0.000
Tl 0.500 0.000 0.000
Tl 0.000 0.000 0.500
CELL_PARAMETERS angstrom
5.750 0.000 0.000
0.000 4.592 0.000
0.000 0.000 5.750
```



The following is a PBE calculation of an optimized crystal structure of Cs2IrSe4, from the Alexandria database. Values from VASP.

Calculated values
* DFT total energy: -3.8210 eV/atom
* space-group type: No. 139
* formation energy without anion corrections: -320.1 meV/atom

Cell and atoms, written as Quantum ESPRESSO input:
```
&SYSTEM
  ibrav = 0, nat = 7, ntyp = 3
/
ATOMIC_SPECIES
Cs 132.91 Cs.upf
Ir 192.22 Ir.upf
Se 78.96 Se.upf
ATOMIC_POSITIONS crystal
Cs 0.646 0.646 0.708
Cs 0.354 0.354 0.292
Ir 0.000 0.000 0.000
Se 0.137 0.137 0.725
Se 0.863 0.863 0.275
Se 0.500 0.000 0.000
Se 0.000 0.500 0.000
CELL_PARAMETERS angstrom
-3.851 3.494 -0.658
-0.832 -1.829 -4.841
-8.170 -4.988 0.452
```



The following is a PBE calculation of an optimized crystal structure of Ca2MgZn10, from the Alexandria database. Values from VASP.

Calculated values
* DFT total energy: -1.5678 eV/atom
* space-group type: No. 14
* energy of formation: -0.16 eV per atom

Cell and atoms, written as Quantum ESPRESSO input:
```
&SYSTEM
  ibrav = 0, nat = 26, ntyp = 3
/
ATOMIC_SPECIES
Zn 65.41 Zn.upf
Mg 24.30 Mg.upf
Ca 40.08 Ca.upf
ATOMIC_POSITIONS crystal
Zn 0.726 0.365 0.201
Zn 0.042 0.303 0.842
Zn 0.925 0.875 0.435
Zn 0.075 0.375 0.065
Zn 0.958 0.803 0.658
Zn 0.042 0.197 0.342
Zn 0.657 0.846 0.828
Zn 0.274 0.865 0.299
Zn 0.744 0.993 0.226
Zn 0.075 0.125 0.565
Zn 0.343 0.154 0.172
Zn 0.343 0.346 0.672
Zn 0.726 0.135 0.701
Zn 0.256 0.493 0.274
Zn 0.744 0.507 0.726
Zn 0.657 0.654 0.328
Zn 0.958 0.697 0.158
Zn 0.256 0.007 0.774
Zn 0.925 0.625 0.935
Zn 0.274 0.635 0.799
Mg 0.000 0.500 0.500
Mg 0.000 0.000 0.000
Ca 0.462 0.731 0.062
Ca 0.538 0.269 0.938
Ca 0.462 0.769 0.562
Ca 0.538 0.231 0.438
CELL_PARAMETERS angstrom
5.779 0.000 -0.069
0.001 7.022 0.000
-0.136 0.000 12.000
```